Entry 1:
An optimized crystal structure of Ta2PN, computed with PBE.

Unit cell a=6.433 b=6.433 c=6.433 alpha=133.92 beta=133.92 gamma=67.22
Fractional positions:
1 Ta 0.055 0.625 0.930
2 Ta 0.375 0.305 0.430
3 Ta 0.695 0.125 0.070
4 Ta 0.875 0.945 0.570
5 P 0.250 0.750 0.500
6 P 0.500 0.500 0.000
7 N 0.000 0.000 0.000
8 N 0.750 0.250 0.500

Computed properties:
Formation energy without anion corrections   -0.3732 eV per atom
Density   9.95 Mg/m³

=====

Entry 2:
An optimized crystal structure of Cd2Bi2Pd, computed with PBE.

Unit cell a=9.419 b=9.419 c=9.419 alpha=156.52 beta=156.52 gamma=33.45
Fractional positions:
1 Cd 0.250 0.750 0.500
2 Cd 0.750 0.250 0.500
3 Bi 0.087 0.087 0.000
4 Bi 0.913 0.913 0.000
5 Pd 0.500 0.500 0.000

Computed properties:
Density   9.39 Mg/m³
Calculated formation energy   2.3 kcal/mol of atoms

=====

Entry 3:
An optimized crystal structure of Al3Zn8Ag2, computed with PBE.

Unit cell a=10.861 b=10.861 c=10.861 alpha=26.08 beta=26.08 gamma=26.08
Fractional positions:
1 Al 0.000 0.000 0.000
2 Al 0.183 0.183 0.183
3 Al 0.817 0.817 0.817
4 Zn 0.230 0.729 0.729
5 Zn 0.271 0.271 0.770
6 Zn 0.271 0.770 0.271
7 Zn 0.273 0.273 0.273
8 Zn 0.727 0.727 0.727
9 Zn 0.729 0.230 0.729
10 Zn 0.729 0.729 0.230
11 Zn 0.770 0.271 0.271
12 Ag 0.357 0.357 0.357
13 Ag 0.643 0.643 0.643

Computed properties:
Density   6.24 Mg/m³
Calculated formation energy   2.5 kcal/mol of atoms

=====

Entry 4:
An optimized crystal structure of AcAl2Pt2, computed with PBE.

Unit cell a=6.479 b=6.479 c=6.479 alpha=141.58 beta=141.58 gamma=55.47
Fractional positions:
1 Ac 0.000 0.000 0.000
2 Al 0.250 0.750 0.500
3 Al 0.750 0.250 0.500
4 Pt 0.373 0.373 0.000
5 Pt 0.627 0.627 0.000

Computed properties:
Density   10.69 Mg/m³
Calculated formation energy   -25.6 kcal/mol of atoms

=====

Entry 5:
An optimized crystal structure of CdOsPb2, computed with PBE.

Unit cell a=7.359 b=7.359 c=7.359 alpha=155.16 beta=143.59 gamma=44.58
Fractional positions:
1 Cd 0.000 0.000 0.000
2 Os 0.179 0.679 0.500
3 Pb 0.367 0.367 0.000
4 Pb 0.676 0.176 0.500

Computed properties:
Density   12.01 Mg/m³
Calculated formation energy   12.6 kcal/mol of atoms

=====

Entry 6:
An optimized crystal structure of Pm3Si3Pt, computed with PBE.

Unit cell a=9.593 b=9.593 c=9.593 alpha=155.58 beta=154.05 gamma=35.93
Fractional positions:
1 Pm 0.000 0.000 0.000
2 Pm 0.185 0.685 0.500
3 Pm 0.368 0.368 0.000
4 Si 0.541 0.541 0.000
5 Si 0.748 0.248 0.500
6 Si 0.827 0.827 0.000
7 Pt 0.618 0.118 0.500

Computed properties:
Formation energy without anion corrections   -0.8969 eV per atom
Density   7.44 Mg/m³

=====

Entry 7:
An optimized crystal structure of La2SbCl, computed with PBE.

Unit cell a=8.143 b=8.143 c=8.143 alpha=31.03 beta=31.03 gamma=31.03
Fractional positions:
1 La 0.000 0.000 0.000
2 La 0.174 0.174 0.174
3 Sb 0.588 0.588 0.588
4 Cl 0.418 0.418 0.418

Computed properties:
Formation energy without anion corrections   -1.3456 eV per atom
Density   5.67 Mg/m³

=====

Entry 8:
An optimized crystal structure of NaAc2Ni, computed with PBE.

Unit cell a=11.238 b=11.238 c=11.238 alpha=21.64 beta=21.64 gamma=21.64
Fractional positions:
1 Na 0.000 0.000 0.000
2 Ac 0.118 0.118 0.118
3 Ac 0.882 0.882 0.882
4 Ni 0.500 0.500 0.500

Computed properties:
Density   5.26 Mg/m³
Calculated formation energy   -0.3 kcal/mol of atoms

=====

Entry 9:
An optimized crystal structure of EuGaCuHg, computed with PBE.

Unit cell a=4.967 b=4.967 c=4.967 alpha=60.00 beta=60.00 gamma=60.00
Fractional positions:
1 Eu 0.000 0.000 0.000
2 Ga 0.500 0.500 0.500
3 Cu 0.750 0.750 0.750
4 Hg 0.250 0.250 0.250

Computed properties:
Density   9.31 Mg/m³
Calculated formation energy   -4.0 kcal/mol of atoms

=====

Entry 10:
An optimized crystal structure of Mg2Ga6Pt, computed with PBE.

Unit cell a=5.666 b=5.666 c=6.260 alpha=93.10 beta=93.10 gamma=54.96
Fractional positions:
1 Mg 0.152 0.152 0.407
2 Mg 0.848 0.848 0.593
3 Ga 0.146 0.654 0.161
4 Ga 0.336 0.336 0.804
5 Ga 0.346 0.854 0.839
6 Ga 0.654 0.146 0.161
7 Ga 0.664 0.664 0.196
8 Ga 0.854 0.346 0.839
9 Pt 0.500 0.500 0.500

Computed properties:
Density   6.69 Mg/m³
Calculated formation energy   -5.6 kcal/mol of atoms

=====

Entry 11:
An optimized crystal structure of Y2HfNi9, computed with PBE.

Unit cell a=8.625 b=8.625 c=8.625 alpha=32.90 beta=32.90 gamma=32.90
Fractional positions:
1 Y 0.137 0.137 0.137
2 Y 0.863 0.863 0.863
3 Hf 0.000 0.000 0.000
4 Ni 0.080 0.581 0.581
5 Ni 0.333 0.333 0.333
6 Ni 0.419 0.419 0.920
7 Ni 0.419 0.920 0.419
8 Ni 0.500 0.500 0.500
9 Ni 0.581 0.080 0.581
10 Ni 0.581 0.581 0.080
11 Ni 0.667 0.667 0.667
12 Ni 0.920 0.419 0.419

Computed properties:
Density   8.72 Mg/m³
Calculated formation energy   -8.5 kcal/mol of atoms

=====

Entry 12:
An optimized crystal structure of CsCaCd4, computed with PBE.

Unit cell a=6.358 b=6.358 c=6.358 alpha=60.00 beta=60.00 gamma=60.00
Fractional positions:
1 Cs 0.000 0.000 0.000
2 Ca 0.250 0.250 0.250
3 Cd 0.128 0.624 0.624
4 Cd 0.624 0.128 0.624
5 Cd 0.624 0.624 0.128
6 Cd 0.624 0.624 0.624

Computed properties:
Density   5.69 Mg/m³
Calculated formation energy   -1.6 kcal/mol of atoms